Here is a geometry-optimized BaBi2I2O2 structure from Alexandria. Energies are from PBE.

Results
DFT total energy = -29.14 eV per cell
V = 221 Å³/f.u.
symmetry = No. 107
DOS(E_F) = 4.28 states/eV/cell

a = 13.1702 Å, b = 13.1702 Å, c = 13.1702 Å
α = 161.90°, β = 161.90°, γ = 25.71°
Positions (direct):
O (0.4470, 0.9470, 0.5000)
Bi (0.9930, 0.9930, 0.0000)
O (0.9470, 0.4470, 0.5000)
Bi (0.4007, 0.4007, 0.0000)
I (0.8276, 0.8276, 0.0000)
Ba (0.6178, 0.6178, 0.0000)
I (0.1897, 0.1897, 0.0000)

Here is a geometry-optimized AcPm6Pr12 structure from Alexandria. Energies are from PBE.

Results
DFT total energy = -86.60 eV per cell
V = 704 Å³/f.u.
formation energy = 0.177 eV per atom
symmetry = No. 166
DOS(E_F) = 35.58 states/eV/cell

a = 9.0438 Å, b = 9.0438 Å, c = 9.0438 Å
α = 99.62°, β = 99.62°, γ = 99.62°
Positions (direct):
Pr (0.9170, 0.6460, 0.6460)
Pm (0.9020, 0.3438, 0.9020)
Pr (0.3540, 0.3540, 0.0830)
Pm (0.0980, 0.6562, 0.0980)
Pr (0.7599, 0.2401, 0.5000)
Pr (0.5000, 0.2401, 0.7599)
Pr (0.3540, 0.0830, 0.3540)
Pr (0.7599, 0.5000, 0.2401)
Pm (0.9020, 0.9020, 0.3438)
Pr (0.6460, 0.9170, 0.6460)
Pr (0.6460, 0.6460, 0.9170)
Pr (0.5000, 0.7599, 0.2401)
Pr (0.2401, 0.7599, 0.5000)
Ac (0.0000, 0.0000, 0.0000)
Pr (0.0830, 0.3540, 0.3540)
Pr (0.2401, 0.5000, 0.7599)
Pm (0.3438, 0.9020, 0.9020)
Pm (0.6562, 0.0980, 0.0980)
Pm (0.0980, 0.0980, 0.6562)